Record 1
DFT (GGA-PBE) results for crystalline AcLa5Pr4 at its relaxed geometry.

Its energy above the lowest structure with this stoichiometry is 0 meV/atom. The crystal system is tetragonal.

The structure belongs to space group P4/mmm (No. 123); the cell edges are 3.767, 3.767 and 26.465 Å and the angles 90.00°, 90.00° and 90.00°. Symmetry generates all atoms from Ac at (0.000, 0.000, 0.000), La at (0.500, 0.500, 0.106), La at (0.500, 0.500, 0.303), La at (0.500, 0.500, 0.500), Pr at (0.000, 0.000, 0.205) and Pr at (0.000, 0.000, 0.401).


Record 2
DFT (GGA-PBE) results for crystalline AcLa4Pr8 at its relaxed geometry.

The crystal system is trigonal.

The structure belongs to space group R-3m (No. 166, hexagonal axes); the cell edges are 11.9965, 11.9965 and 12.1796 Å and the angles 90.00°, 90.00° and 120.00°. Symmetry generates all atoms from Ac at (0.0000, 0.0000, 0.0000), La at (0.0000, 0.0000, 0.5000), La at (0.0000, 0.5000, 0.5000), Pr at (0.0000, 0.0000, 0.2669) and Pr at (0.0046, 0.5023, 0.1643).


Record 3
DFT (GGA-PBE) results for crystalline Ac2La7Pr4 at its relaxed geometry.

The crystal system is trigonal.

The structure belongs to space group P-31m (No. 162); the cell edges are 6.5373, 6.5373 and 13.2590 Å and the angles 90.00°, 90.00° and 120.00°. Symmetry generates all atoms from Ac at (0.3333, 0.6667, 0.0000), La at (0.0000, 0.0000, 0.0000), La at (0.0000, 0.3788, 0.7667), Pr at (0.0000, 0.0000, 0.3871) and Pr at (0.3333, 0.6667, 0.5000).


Record 4
DFT (GGA-PBE) results for crystalline Ac5La6Pr2 at its relaxed geometry.

The crystal system is orthorhombic.

The structure belongs to space group Pbam (No. 55); the cell edges are 12.231, 22.381 and 3.839 Å and the angles 90.00°, 90.00° and 90.00°. Symmetry generates all atoms from Ac at (0.000, 0.000, 0.000), Ac at (0.052, 0.291, 0.000), Ac at (0.193, 0.578, 0.000), La at (0.056, 0.145, 0.500), La at (0.082, 0.438, 0.500), La at (0.189, 0.873, 0.000) and Pr at (0.206, 0.733, 0.500).


Record 5
DFT (GGA-PBE) results for crystalline AcLa7Pr12 at its relaxed geometry.

Its energy above the lowest structure with this stoichiometry is 452 meV/atom. The crystal system is cubic.

The structure belongs to space group Im-3 (No. 204); the cell edges are 11.653, 11.653 and 11.653 Å and the angles 90.00°, 90.00° and 90.00°. Symmetry generates all atoms from Ac at (0.000, 0.000, 0.000), La at (0.000, 0.000, 0.500), La at (0.250, 0.250, 0.250) and Pr at (0.000, 0.222, 0.281).


Record 6
DFT (GGA-PBE) results for crystalline Ac2La3Pr3 at its relaxed geometry.

The crystal system is monoclinic.

The structure belongs to space group C2/m (No. 12); the cell edges are 21.948, 5.381 and 5.383 Å and the angles 90.00°, 104.12° and 90.00°. Symmetry generates all atoms from Ac at (0.249, 0.000, 0.249), La at (0.000, 0.000, 0.000), La at (0.120, 0.000, 0.620), Pr at (0.000, 0.500, 0.500) and Pr at (0.121, 0.500, 0.121).


Record 7
DFT (GGA-PBE) results for crystalline AcLa4Pr15 at its relaxed geometry.

The crystal system is tetragonal.

The structure belongs to space group P4/mmm (No. 123); the cell edges are 5.289, 5.289 and 26.376 Å and the angles 90.00°, 90.00° and 90.00°. Symmetry generates all atoms from Ac at (0.000, 0.000, 0.000), La at (0.000, 0.000, 0.202), La at (0.000, 0.000, 0.400), Pr at (0.000, 0.500, 0.103), Pr at (0.000, 0.500, 0.301), Pr at (0.000, 0.500, 0.500), Pr at (0.500, 0.500, 0.000), Pr at (0.500, 0.500, 0.202) and Pr at (0.500, 0.500, 0.401).


Record 8
DFT (GGA-PBE) results for crystalline Ac4La2Pr3 at its relaxed geometry.

Its energy above the lowest structure with this stoichiometry is 0 meV/atom. The crystal system is monoclinic.

The structure belongs to space group C2/m (No. 12); the cell edges are 16.339, 5.438 and 8.600 Å and the angles 90.00°, 108.53° and 90.00°. Symmetry generates all atoms from Ac at (0.052, 0.000, 0.329), Ac at (0.223, 0.500, 0.328), La at (0.168, 0.000, 0.001), Pr at (0.000, 0.500, 0.000) and Pr at (0.112, 0.500, 0.673).


| no. | total magnetization (μB per formula unit) | E_form (eV/atom) | DOS(E_F) (states/eV/f.u.) |
| --- | --- | --- | --- |
| 1 | 0.0 | 0.021 | 21.1 |
| 2 | 0.0 | 0.350 | 22.2 |
| 3 | 0.0 | 0.124 | 20.1 |
| 4 | 0.0 | 0.077 | 17.3 |
| 5 | 0.0 | 0.518 | 34.0 |
| 6 | 0.0 | 0.016 | 13.8 |
| 7 | 0.0 | 0.014 | 33.6 |
| 8 | 0.0 | 0.025 | 17.0 |